{"formula": "Li2Cd2In3Hg4", "functional": "GGA-PBE", "state": "relaxed", "lattice": [[4.815, 0.000, 0.000], [-2.407, 4.170, 0.000], [0.000, 0.000, 13.015]], "species": ["Hg", "Hg", "Hg", "Hg", "In", "In", "In", "Cd", "Cd", "Li", "Li"], "fractional_positions": [[0.333, 0.667, 0.881], [0.667, 0.333, 0.657], [0.333, 0.667, 0.343], [0.667, 0.333, 0.119], [0.000, 0.000, 0.000], [0.000, 0.000, 0.253], [0.000, 0.000, 0.747], [0.667, 0.333, 0.427], [0.333, 0.667, 0.573], [0.667, 0.333, 0.884], [0.333, 0.667, 0.116]], "vol_a3_per_atom": 23.8, "formation_energy_ev_per_atom": -0.113}

***

{"formula": "Li2CdIn2Hg5", "functional": "GGA-PBE", "state": "relaxed", "lattice": [[3.986, 0.000, 0.000], [0.000, 10.853, 0.000], [0.000, 0.000, 10.853]], "species": ["Li", "Li", "Li", "Li", "Hg", "Hg", "Hg", "Hg", "Hg", "Hg", "Hg", "Hg", "Hg", "Hg", "In", "In", "In", "In", "Cd", "Cd"], "fractional_positions": [[0.000, 0.371, 0.129], [0.000, 0.629, 0.871], [0.000, 0.129, 0.629], [0.000, 0.871, 0.371], [0.500, 0.500, 0.000], [0.500, 0.300, 0.576], [0.500, 0.800, 0.924], [0.500, 0.700, 0.424], [0.500, 0.000, 0.500], [0.500, 0.076, 0.800], [0.500, 0.424, 0.300], [0.500, 0.924, 0.200], [0.500, 0.576, 0.700], [0.500, 0.200, 0.076], [0.000, 0.332, 0.832], [0.000, 0.668, 0.168], [0.000, 0.832, 0.668], [0.000, 0.168, 0.332], [0.000, 0.500, 0.500], [0.000, 0.000, 0.000]], "vol_a3_per_atom": 23.5, "formation_energy_ev_per_atom": -0.104}

***

{"formula": "Li2Cd5In2Hg2", "functional": "GGA-PBE", "state": "relaxed", "lattice": [[4.205, 0.000, 0.000], [0.000, 4.205, 0.000], [-2.102, -2.102, 17.508]], "species": ["Cd", "Cd", "Cd", "Cd", "Cd", "Li", "Li", "In", "In", "Hg", "Hg"], "fractional_positions": [[0.856, 0.356, 0.712], [0.000, 0.000, 0.000], [0.644, 0.144, 0.288], [0.144, 0.644, 0.288], [0.356, 0.856, 0.712], [0.702, 0.702, 0.403], [0.298, 0.298, 0.597], [0.783, 0.783, 0.566], [0.217, 0.217, 0.434], [0.080, 0.080, 0.159], [0.920, 0.920, 0.841]], "vol_a3_per_atom": 28.1, "formation_energy_ev_per_atom": 0.031}

***

{"formula": "LiCd2InHg", "functional": "GGA-PBE", "state": "relaxed", "lattice": [[-3.398, -3.571, -1.433], [0.983, -2.866, 4.812], [-5.075, 2.533, 5.724]], "species": ["In", "In", "Cd", "Cd", "Cd", "Cd", "Hg", "Hg", "Li", "Li"], "fractional_positions": [[0.250, 0.805, 0.004], [0.750, 0.195, 0.996], [0.250, 0.040, 0.593], [0.250, 0.225, 0.203], [0.750, 0.960, 0.407], [0.750, 0.775, 0.797], [0.250, 0.436, 0.761], [0.750, 0.564, 0.239], [0.250, 0.641, 0.394], [0.750, 0.359, 0.606]], "vol_a3_per_atom": 22.2, "formation_energy_ev_per_atom": -0.125}

***

{"formula": "LiCd3InHg", "functional": "GGA-PBE", "state": "relaxed", "lattice": [[3.285, 0.000, 0.000], [-1.643, 8.280, 0.000], [0.000, 0.000, 9.969]], "species": ["In", "In", "Hg", "Hg", "Cd", "Cd", "Cd", "Cd", "Cd", "Cd", "Li", "Li"], "fractional_positions": [[0.223, 0.445, 0.250], [0.777, 0.555, 0.750], [0.549, 0.098, 0.250], [0.451, 0.902, 0.750], [0.340, 0.680, 0.001], [0.893, 0.786, 0.250], [0.340, 0.680, 0.499], [0.107, 0.214, 0.750], [0.660, 0.320, 0.501], [0.660, 0.320, 0.999], [0.000, 0.000, 0.000], [0.000, 0.000, 0.500]], "vol_a3_per_atom": 22.6, "formation_energy_ev_per_atom": -0.089}

***

{"formula": "Li2Cd2InHg4", "functional": "GGA-PBE", "state": "relaxed", "lattice": [[3.656, 0.811, 0.353], [-0.044, 7.789, -0.397], [-1.350, -4.723, 7.609]], "species": ["Li", "Li", "Cd", "Cd", "Hg", "Hg", "Hg", "Hg", "In"], "fractional_positions": [[0.854, 0.464, 0.221], [0.146, 0.536, 0.779], [0.268, 0.822, 0.369], [0.732, 0.178, 0.631], [0.677, 0.720, 0.065], [0.902, 0.742, 0.601], [0.323, 0.280, 0.935], [0.098, 0.258, 0.399], [0.000, 0.000, 0.000]], "vol_a3_per_atom": 23.8, "formation_energy_ev_per_atom": -0.111}

***

{"formula": "LiCd5In2Hg", "functional": "GGA-PBE", "state": "relaxed", "lattice": [[-2.853, 1.836, 2.935], [-3.736, -3.992, -4.562], [1.493, -10.717, 8.156]], "species": ["Cd", "Cd", "Cd", "Cd", "Cd", "Cd", "Cd", "Cd", "Cd", "Cd", "In", "In", "In", "In", "Li", "Li", "Hg", "Hg"], "fractional_positions": [[0.082, 0.165, 0.090], [0.249, 0.498, 0.257], [0.416, 0.831, 0.759], [0.745, 0.490, 0.092], [0.918, 0.835, 0.590], [0.581, 0.163, 0.590], [0.419, 0.837, 0.090], [0.751, 0.502, 0.757], [0.255, 0.510, 0.592], [0.584, 0.169, 0.259], [0.917, 0.833, 0.258], [0.083, 0.167, 0.758], [0.082, 0.165, 0.426], [0.918, 0.835, 0.926], [0.415, 0.829, 0.424], [0.585, 0.171, 0.924], [0.763, 0.526, 0.427], [0.237, 0.474, 0.927]], "vol_a3_per_atom": 22.8, "formation_energy_ev_per_atom": -0.052}

***

{"formula": "LiCd2InHg2", "functional": "GGA-PBE", "state": "relaxed", "lattice": [[4.524, 0.000, 0.000], [0.000, 6.715, 0.000], [0.000, 0.000, 8.977]], "species": ["In", "In", "Cd", "Cd", "Cd", "Cd", "Hg", "Hg", "Hg", "Hg", "Li", "Li"], "fractional_positions": [[0.000, 0.923, 0.487], [0.000, 0.423, 0.513], [0.000, 0.374, 0.172], [0.500, 0.091, 0.020], [0.500, 0.591, 0.980], [0.000, 0.874, 0.828], [0.000, 0.828, 0.160], [0.000, 0.328, 0.840], [0.500, 0.176, 0.354], [0.500, 0.676, 0.646], [0.500, 0.653, 0.323], [0.500, 0.153, 0.677]], "vol_a3_per_atom": 22.7, "formation_energy_ev_per_atom": -0.106}

***

{"formula": "Li2Cd2InHg2", "functional": "GGA-PBE", "state": "relaxed", "lattice": [[-2.656, 1.266, 3.349], [2.030, -7.236, 1.379], [3.973, 3.443, 1.850]], "species": ["Li", "Li", "Hg", "Hg", "Cd", "Cd", "In"], "fractional_positions": [[0.368, 0.736, 0.571], [0.632, 0.264, 0.429], [0.424, 0.848, 0.110], [0.576, 0.152, 0.890], [0.217, 0.433, 0.792], [0.783, 0.567, 0.208], [0.000, 0.000, 0.500]], "vol_a3_per_atom": 24.3, "formation_energy_ev_per_atom": -0.080}

***

{"formula": "Li2Cd3In2Hg4", "functional": "GGA-PBE", "state": "relaxed", "lattice": [[4.836, 0.000, 0.000], [-2.418, 4.188, 0.000], [0.000, 0.000, 12.657]], "species": ["Cd", "Cd", "Cd", "In", "In", "Hg", "Hg", "Hg", "Hg", "Li", "Li"], "fractional_positions": [[0.000, 0.000, 0.760], [0.000, 0.000, 0.240], [0.000, 0.000, 0.000], [0.333, 0.667, 0.581], [0.667, 0.333, 0.419], [0.667, 0.333, 0.666], [0.667, 0.333, 0.124], [0.333, 0.667, 0.334], [0.333, 0.667, 0.876], [0.333, 0.667, 0.103], [0.667, 0.333, 0.897]], "vol_a3_per_atom": 23.3, "formation_energy_ev_per_atom": -0.120}

***

{"formula": "Li5Cd2In2Hg", "functional": "GGA-PBE", "state": "relaxed", "lattice": [[-2.934, -1.572, -1.595], [3.574, -9.460, 2.745], [-5.257, 0.638, 9.042]], "species": ["In", "In", "In", "In", "Li", "Li", "Li", "Li", "Li", "Li", "Li", "Li", "Li", "Li", "Cd", "Cd", "Cd", "Cd", "Hg", "Hg"], "fractional_positions": [[0.000, 0.663, 0.837], [0.000, 0.837, 0.337], [0.000, 0.163, 0.663], [0.000, 0.337, 0.163], [0.500, 0.000, 0.500], [0.500, 0.303, 0.475], [0.500, 0.025, 0.197], [0.500, 0.975, 0.803], [0.500, 0.197, 0.975], [0.500, 0.803, 0.025], [0.500, 0.525, 0.303], [0.500, 0.475, 0.697], [0.500, 0.500, 0.000], [0.500, 0.697, 0.525], [0.000, 0.359, 0.859], [0.000, 0.859, 0.641], [0.000, 0.641, 0.141], [0.000, 0.141, 0.359], [0.000, 0.500, 0.500], [0.000, 0.000, 0.000]], "vol_a3_per_atom": 20.3, "formation_energy_ev_per_atom": -0.193}

***

{"formula": "Li3Cd2In4Hg2", "functional": "GGA-PBE", "state": "relaxed", "lattice": [[-2.526, 4.008, 1.321], [-2.235, -3.607, -2.488], [-3.146, -5.581, 10.918]], "species": ["In", "In", "In", "In", "Hg", "Hg", "Cd", "Cd", "Li", "Li", "Li"], "fractional_positions": [[0.333, 0.667, 0.882], [0.667, 0.333, 0.118], [0.667, 0.333, 0.598], [0.333, 0.667, 0.402], [0.333, 0.667, 0.137], [0.667, 0.333, 0.863], [0.667, 0.333, 0.358], [0.333, 0.667, 0.642], [0.000, 0.000, 0.000], [0.000, 0.000, 0.746], [0.000, 0.000, 0.254]], "vol_a3_per_atom": 24.1, "formation_energy_ev_per_atom": -0.112}

***

{"formula": "Li2CdInHg2", "functional": "GGA-PBE", "state": "relaxed", "lattice": [[4.841, 0.000, 0.000], [-2.420, 4.192, 0.000], [0.000, 0.000, 6.069]], "species": ["Li", "Li", "Cd", "Hg", "Hg", "In"], "fractional_positions": [[0.667, 0.333, 0.270], [0.333, 0.667, 0.730], [0.000, 0.000, 0.500], [0.667, 0.333, 0.759], [0.333, 0.667, 0.241], [0.000, 0.000, 0.000]], "vol_a3_per_atom": 20.5, "formation_energy_ev_per_atom": -0.234}

***

{"formula": "LiCd4In2Hg2", "functional": "GGA-PBE", "state": "relaxed", "lattice": [[3.347, 0.000, 0.000], [-1.674, 2.899, 0.000], [0.000, 0.000, 22.011]], "species": ["Li", "In", "In", "Cd", "Cd", "Cd", "Cd", "Hg", "Hg"], "fractional_positions": [[0.000, 0.000, 0.323], [0.667, 0.333, 0.222], [0.667, 0.333, 0.428], [0.667, 0.333, 0.092], [0.000, 0.000, 0.761], [0.000, 0.000, 0.543], [0.667, 0.333, 0.872], [0.667, 0.333, 0.653], [0.000, 0.000, 0.982]], "vol_a3_per_atom": 23.7, "formation_energy_ev_per_atom": -0.015}

***

{"formula": "LiCd2In2Hg2", "functional": "GGA-PBE", "state": "relaxed", "lattice": [[4.983, 0.009, -0.038], [0.016, 5.316, 0.048], [2.438, 2.322, 6.455]], "species": ["Cd", "Cd", "Hg", "Hg", "In", "In", "Li"], "fractional_positions": [[0.111, 0.594, 0.776], [0.889, 0.406, 0.224], [0.595, 0.249, 0.812], [0.405, 0.751, 0.188], [0.239, 0.183, 0.521], [0.761, 0.817, 0.479], [0.000, 0.000, 0.000]], "vol_a3_per_atom": 24.4, "formation_energy_ev_per_atom": -0.073}

***

{"formula": "LiCdInHg", "functional": "GGA-PBE", "state": "relaxed", "lattice": [[5.006, 0.000, 0.000], [2.503, 4.336, 0.000], [2.503, 1.445, 4.088]], "species": ["Hg", "Cd", "Li", "In"], "fractional_positions": [[0.000, 0.000, 0.000], [0.500, 0.500, 0.500], [0.250, 0.250, 0.250], [0.750, 0.750, 0.750]], "vol_a3_per_atom": 22.2, "formation_energy_ev_per_atom": -0.147, "de_polymorph_mev_per_atom": 21}

***

{"formula": "LiCdInHg", "functional": "GGA-PBE", "state": "relaxed", "lattice": [[-1.386, 1.349, -4.069], [-4.078, -1.736, 0.814], [1.460, 3.972, 3.314]], "species": ["In", "Hg", "Li", "Cd"], "fractional_positions": [[0.500, 0.500, 0.000], [0.250, 0.750, 0.500], [0.000, 0.001, 0.000], [0.750, 0.250, 0.500]], "vol_a3_per_atom": 22.0, "formation_energy_ev_per_atom": -0.168, "de_polymorph_mev_per_atom": 0}

***

{"formula": "Li2CdInHg", "functional": "GGA-PBE", "state": "relaxed", "lattice": [[4.853, 0.000, 0.000], [0.000, 5.388, -0.475], [0.000, -2.447, 7.976]], "species": ["In", "In", "Cd", "Cd", "Li", "Li", "Li", "Li", "Hg", "Hg"], "fractional_positions": [[0.250, 0.678, 0.490], [0.750, 0.322, 0.510], [0.750, 0.131, 0.091], [0.250, 0.869, 0.909], [0.250, 0.461, 0.094], [0.750, 0.539, 0.906], [0.250, 0.054, 0.298], [0.750, 0.946, 0.702], [0.750, 0.724, 0.271], [0.250, 0.276, 0.729]], "vol_a3_per_atom": 20.3, "formation_energy_ev_per_atom": -0.248}

***

{"formula": "Li2Cd2In2Hg", "functional": "GGA-PBE", "state": "relaxed", "lattice": [[-2.073, 1.994, -3.462], [-0.897, -5.148, 0.499], [-6.148, 0.220, 3.808]], "species": ["In", "In", "Li", "Li", "Cd", "Cd", "Hg"], "fractional_positions": [[0.414, 0.827, 0.227], [0.586, 0.173, 0.773], [0.298, 0.596, 0.645], [0.702, 0.404, 0.355], [0.140, 0.280, 0.073], [0.860, 0.720, 0.927], [0.000, 0.000, 0.500]], "vol_a3_per_atom": 21.7, "formation_energy_ev_per_atom": -0.164}

***

{"formula": "LuCdInHg", "functional": "GGA-PBE", "state": "relaxed", "lattice": [[5.120, 0.000, 0.000], [2.560, 4.434, 0.000], [2.560, 1.478, 4.180]], "species": ["In", "Lu", "Hg", "Cd"], "fractional_positions": [[0.000, 0.000, 0.000], [0.250, 0.250, 0.250], [0.500, 0.500, 0.500], [0.750, 0.750, 0.750]], "vol_a3_per_atom": 23.7, "formation_energy_ev_per_atom": -0.245}

***

{"formula": "MgCd2In4Hg", "functional": "GGA-PBE", "state": "relaxed", "lattice": [[6.295, 0.000, 0.000], [3.148, 5.670, 0.000], [3.148, 0.000, 5.670]], "species": ["Cd", "Cd", "Mg", "In", "In", "In", "In", "Hg"], "fractional_positions": [[0.500, 0.500, 0.500], [0.000, 0.500, 0.500], [0.000, 0.000, 0.000], [0.001, 0.500, 0.000], [0.999, 0.000, 0.500], [0.500, 0.000, 0.500], [0.500, 0.500, 0.000], [0.500, 0.000, 0.000]], "vol_a3_per_atom": 25.3, "formation_energy_ev_per_atom": 0.014}

***

{"formula": "MgCdIn2Hg", "functional": "GGA-PBE", "state": "relaxed", "lattice": [[4.682, 0.000, 0.000], [0.000, 7.299, -0.116], [0.000, -0.053, 7.108]], "species": ["In", "In", "In", "In", "Mg", "Mg", "Cd", "Cd", "Hg", "Hg"], "fractional_positions": [[0.250, 0.162, 0.550], [0.750, 0.057, 0.858], [0.250, 0.943, 0.142], [0.750, 0.838, 0.450], [0.750, 0.452, 0.666], [0.250, 0.548, 0.334], [0.250, 0.740, 0.731], [0.750, 0.260, 0.269], [0.750, 0.646, 0.043], [0.250, 0.354, 0.957]], "vol_a3_per_atom": 24.3, "formation_energy_ev_per_atom": -0.029}